# CaGdY2 PBE-GGA optimized geometry
# energy above the lowest structure with this stoichiometry = 7.9 kJ per mole of atoms
# calculated formation energy = 0.15 eV/atom
data_CaGdY2
_chemical_formula_sum 'Ca4 Gd4 Y8'
_cell_length_a 8.169
_cell_length_b 8.169
_cell_length_c 8.169
_cell_angle_alpha 90.00
_cell_angle_beta 90.00
_cell_angle_gamma 90.00
_space_group_name_H-M_alt 'F m -3 m'
_space_group_IT_number 225
_space_group_name_Hall '-F 4 2 3'
loop_
_atom_site_label
_atom_site_fract_x
_atom_site_fract_y
_atom_site_fract_z
Ca1 0.000 0.000 0.000
Gd1 0.000 0.000 0.500
Y1 0.250 0.250 0.250

---

# CaGd4Y PBE-GGA optimized geometry
# calculated formation energy = 0.20 eV/atom
data_CaGd4Y
_chemical_formula_sum 'Ca4 Gd16 Y4'
_cell_length_a 9.446
_cell_length_b 9.446
_cell_length_c 9.446
_cell_angle_alpha 90.00
_cell_angle_beta 90.00
_cell_angle_gamma 90.00
_space_group_name_H-M_alt 'F -4 3 m'
_space_group_IT_number 216
_space_group_name_Hall 'F -4 2 3'
loop_
_atom_site_label
_atom_site_fract_x
_atom_site_fract_y
_atom_site_fract_z
Ca1 0.000 0.000 0.000
Gd1 0.123 0.123 0.377
Y1 0.250 0.250 0.750

---

# CaGdY2 PBE-GGA optimized geometry
# energy above the lowest structure with this stoichiometry = 8.8 kJ per mole of atoms
# calculated formation energy = 0.16 eV/atom
data_CaGdY2
_chemical_formula_sum 'Ca3 Gd3 Y6'
_cell_length_a 3.5632
_cell_length_b 3.5632
_cell_length_c 37.7636
_cell_angle_alpha 90.00
_cell_angle_beta 90.00
_cell_angle_gamma 120.00
_space_group_name_H-M_alt 'R -3 m'
_space_group_IT_number 166
_space_group_name_Hall '-R 3 2"'
loop_
_atom_site_label
_atom_site_fract_x
_atom_site_fract_y
_atom_site_fract_z
Ca1 0.0000 0.0000 0.0000
Gd1 0.0000 0.0000 0.5000
Y1 0.0000 0.0000 0.0906